1.
A relaxed ZrSiPt crystal. Source: Alexandria, functional GGA-PBE.

a b c (Å): 3.957 6.643 11.378
angles (deg): 89.76 90.00 90.00
Element x y z (fractional)
Zr (0.750, 0.653, 0.079)
Zr (0.250, 0.347, 0.921)
Zr (0.750, 0.528, 0.380)
Zr (0.750, 0.021, 0.291)
Zr (0.250, 0.979, 0.709)
Zr (0.250, 0.472, 0.620)
Pt (0.750, 0.635, 0.793)
Pt (0.250, 0.988, 0.092)
Pt (0.750, 0.149, 0.541)
Pt (0.750, 0.012, 0.908)
Pt (0.250, 0.365, 0.207)
Pt (0.250, 0.851, 0.459)
Si (0.750, 0.240, 0.085)
Si (0.750, 0.271, 0.750)
Si (0.250, 0.760, 0.915)
Si (0.250, 0.238, 0.417)
Si (0.750, 0.762, 0.583)
Si (0.250, 0.729, 0.250)

Summary:
Space group = P2_1/m
Energy relative to the elements, uncorrected = -1.157 eV per atom

2.
A relaxed Tb4CoHg2 crystal. Source: Alexandria, functional GGA-PBE.

a b c (Å): 5.073 5.073 8.459
angles (deg): 107.45 107.45 90.00
Element x y z (fractional)
Hg (0.629, 0.629, 0.257)
Hg (0.371, 0.371, 0.743)
Tb (0.500, 0.000, 0.000)
Tb (0.176, 0.176, 0.352)
Tb (0.824, 0.824, 0.648)
Tb (0.000, 0.500, 0.000)
Co (0.000, 0.000, 0.000)

Summary:
Energy relative to the elements = -202 meV/atom
Space group = I4/mmm

3.
A relaxed Be2Co3 crystal. Source: Alexandria, functional GGA-PBE.

a b c (Å): 3.597 3.597 4.440
angles (deg): 90.00 90.00 120.00
Element x y z (fractional)
Be (0.333, 0.667, 0.859)
Be (0.667, 0.333, 0.141)
Co (0.667, 0.333, 0.638)
Co (0.333, 0.667, 0.362)
Co (0.000, 0.000, 0.000)

Summary:
Energy relative to the elements = 67 meV/atom
Space group = P-3m1

4.
A relaxed Li2TcPdN crystal. Source: Alexandria, functional GGA-PBE.

a b c (Å): 3.982 3.982 3.886
angles (deg): 90.00 90.00 90.00
Element x y z (fractional)
Li (0.500, 0.000, 0.000)
Li (0.000, 0.500, 0.000)
Pd (0.500, 0.500, 0.500)
N (0.000, 0.000, 0.000)
Tc (0.000, 0.000, 0.500)

Summary:
Space group = P4/mmm
Energy relative to the elements, uncorrected = -0.218 eV per atom

5.
A relaxed TbPr2Rh2 crystal. Source: Alexandria, functional GGA-PBE.

a b c (Å): 6.370 7.925 7.386
angles (deg): 122.44 115.55 90.00
Element x y z (fractional)
Rh (0.096, 0.858, 0.191)
Rh (0.404, 0.666, 0.809)
Rh (0.904, 0.142, 0.809)
Rh (0.596, 0.334, 0.191)
Pr (0.341, 0.974, 0.683)
Pr (0.841, 0.708, 0.683)
Pr (0.659, 0.026, 0.317)
Pr (0.159, 0.292, 0.317)
Tb (0.250, 0.500, 0.000)
Tb (0.750, 0.500, 0.000)

Summary:
Energy relative to the elements = -538 meV/atom
Space group = Ibam

6.
A relaxed MgIn2SbH crystal. Source: Alexandria, functional GGA-PBE.

a b c (Å): 4.910 4.506 4.910
angles (deg): 90.00 90.00 90.00
Element x y z (fractional)
In (0.500, 0.000, 0.000)
In (0.000, 0.000, 0.500)
H (0.000, 0.000, 0.000)
Sb (0.500, 0.500, 0.500)
Mg (0.000, 0.500, 0.000)

Summary:
Calculated total energy = -13.99 eV for the cell shown
Space group = P4/mmm

7.
A relaxed CrAs2 crystal. Source: Alexandria, functional GGA-PBE.

a b c (Å): 3.931 3.931 3.734
angles (deg): 90.00 90.00 90.00
Element x y z (fractional)
As (0.000, 0.500, 0.500)
As (0.500, 0.000, 0.500)
Cr (0.000, 0.000, 0.000)

Summary:
Energy relative to the elements = 184 meV/atom
Space group = P4/mmm

8.
A relaxed Rb2Hg2F crystal. Source: Alexandria, functional GGA-PBE.

a b c (Å): 7.658 7.658 6.784
angles (deg): 90.00 90.00 90.00
Element x y z (fractional)
F (0.000, 0.000, 0.000)
F (0.500, 0.500, 0.000)
Rb (0.294, 0.794, 0.000)
Rb (0.206, 0.294, 0.000)
Rb (0.706, 0.206, 0.000)
Rb (0.794, 0.706, 0.000)
Hg (0.856, 0.356, 0.500)
Hg (0.356, 0.144, 0.500)
Hg (0.144, 0.644, 0.500)
Hg (0.644, 0.856, 0.500)

Summary:
Space group = P4/mbm
Energy relative to the elements, uncorrected = -1.016 eV per atom

9.
A relaxed Rb2LaRuF6 crystal. Source: Alexandria, functional GGA-PBE.

a b c (Å): 6.305 6.305 6.898
angles (deg): 62.81 62.81 90.00
Element x y z (fractional)
La (0.000, 0.000, 0.000)
F (0.219, 0.219, 0.563)
F (0.741, 0.259, 0.000)
F (0.781, 0.781, 0.437)
F (0.741, 0.741, 0.000)
F (0.259, 0.741, 0.000)
F (0.259, 0.259, 0.000)
Rb (0.250, 0.750, 0.500)
Rb (0.750, 0.250, 0.500)
Ru (0.500, 0.500, 0.000)

Summary:
Space group = I4/mmm
Energy relative to the elements, uncorrected = -2.550 eV per atom

10.
A relaxed CdAgBi crystal. Source: Alexandria, functional GGA-PBE.

a b c (Å): 4.256 5.788 6.965
angles (deg): 114.57 107.79 90.00
Element x y z (fractional)
Bi (0.022, 0.894, 0.673)
Bi (0.423, 0.295, 0.474)
Ag (0.100, 0.473, 0.829)
Ag (0.344, 0.717, 0.318)
Cd (0.722, 0.337, 0.074)
Cd (0.722, 0.852, 0.074)

Summary:
Energy relative to the elements = 42 meV/atom
Space group = Immm

| no. | size of the total moment (μB per formula unit) |
| --- | --- |
| 1 | 0.0 |
| 2 | 0.0 |
| 3 | 3.1 |
| 4 | 0.9 |
| 5 | 0.0 |
| 6 | 0.0 |
| 7 | 3.5 |
| 8 | 0.0 |
| 9 | 1.0 |
| 10 | 0.0 |